VASP calculation (PBEsol) on SiPb2Au after structural relaxation.

## Properties
Total magnetization ... 0.00 μB per formula unit
Symmetry ... F-43m (216)
Formation energy (no corrections) ... 0.37 eV per atom
Final energy ... -0.149 hartree per atom
Theoretical density ... 11.564 Mg/m³

Lattice parameters (Å, degrees): 5.0639 5.0639 5.0639 60.00 60.00 60.00
Fractional coordinates of all 4 atoms:
Pb  0.0000  0.0000  0.0000
Au  0.5000  0.5000  0.5000
Pb  0.7500  0.7500  0.7500
Si  0.2500  0.2500  0.2500



VASP calculation (PBEsol) on Cu2Se after structural relaxation.

## Properties
Total magnetization ... 0.00 μB per formula unit
Symmetry ... F-43m (216)
Formation energy (no corrections) ... 0.04 eV per atom
Final energy ... -0.152 hartree per atom
Theoretical density ... 7.453 Mg/m³

Lattice parameters (Å, degrees): 4.0192 4.0192 4.0192 60.00 60.00 60.00
Fractional coordinates of all 3 atoms:
Cu  0.5000  0.5000  0.5000
Se  0.0000  0.0000  0.0000
Cu  0.2500  0.2500  0.2500



VASP calculation (PBEsol) on Mg3CoOs after structural relaxation.

## Properties
Total magnetization ... 2.16 μB per formula unit
Symmetry ... Pm-3m (221)
ΔH_f (0 K) ... 1.26 eV per atom
Final energy ... -0.138 hartree per atom
Theoretical density ... 4.617 Mg/m³

Lattice parameters (Å, degrees): 4.8746 4.8746 4.8746 90.00 90.00 90.00
Fractional coordinates of all 5 atoms:
Mg  0.0000  0.5000  0.0000
Os  0.0000  0.0000  0.0000
Co  0.5000  0.5000  0.5000
Mg  0.0000  0.0000  0.5000
Mg  0.5000  0.0000  0.0000



VASP calculation (PBEsol) on TlTe2 after structural relaxation.

## Properties
Total magnetization ... 0.00 μB per formula unit
Symmetry ... Pnnm (58)
ΔE to the lowest computed polymorph ... 0.088 eV per atom
Formation energy (no corrections) ... 0.00 eV per atom
Final energy ... -0.119 hartree per atom
Theoretical density ... 6.898 Mg/m³

Lattice parameters (Å, degrees): 4.9617 6.0161 7.4123 90.00 90.00 90.00
Fractional coordinates of all 6 atoms:
Tl  0.0000  0.0000  0.0000
Te  0.0000  0.8127  0.3986
Te  0.5000  0.3127  0.1014
Te  0.0000  0.1873  0.6014
Te  0.5000  0.6873  0.8986
Tl  0.5000  0.5000  0.5000



VASP calculation (PBEsol) on Si2Te after structural relaxation.

## Properties
Total magnetization ... 0.00 μB per formula unit
Symmetry ... P4/nmm (129)
ΔE to the lowest computed polymorph ... 0.186 eV per atom
Formation energy (no corrections) ... 0.22 eV per atom
Final energy ... -0.176 hartree per atom
Theoretical density ... 4.581 Mg/m³

Lattice parameters (Å, degrees): 4.4799 4.4799 6.6385 90.00 90.00 90.00
Fractional coordinates of all 6 atoms:
Te  0.0000  0.5000  0.4716
Si  0.0000  0.5000  0.8550
Si  0.5000  0.5000  0.0000
Si  0.0000  0.0000  0.0000
Si  0.5000  0.0000  0.1450
Te  0.5000  0.0000  0.5284



VASP calculation (PBEsol) on LaMoPb2 after structural relaxation.

## Properties
Total magnetization ... 0.00 μB per formula unit
Symmetry ... P4/mmm (123)
ΔE to the lowest computed polymorph ... 0.000 eV per atom
ΔH_f (0 K) ... 0.13 eV per atom
Final energy ... -0.226 hartree per atom
Theoretical density ... 11.393 Mg/m³

Lattice parameters (Å, degrees): 3.5257 3.5257 7.6123 90.00 90.00 90.00
Fractional coordinates of all 4 atoms:
Mo  0.5000  0.5000  0.0000
La  0.5000  0.5000  0.5000
Pb  0.0000  0.0000  0.2056
Pb  0.0000  0.0000  0.7944



VASP calculation (PBEsol) on MgHg2Pb after structural relaxation.

## Properties
Total magnetization ... 0.00 μB per formula unit
Symmetry ... P2/m (10)
ΔH_f (0 K) ... -0.15 eV per atom
Final energy ... -0.068 hartree per atom
Theoretical density ... 11.222 Mg/m³

Lattice parameters (Å, degrees): 3.3977 3.4218 8.7131 90.00 112.46 90.00
Fractional coordinates of all 4 atoms:
Hg  0.2165  0.0000  0.2154
Hg  0.7835  0.0000  0.7846
Pb  0.0000  0.5000  0.5000
Mg  0.5000  0.5000  0.0000



VASP calculation (PBEsol) on K2CdSiO4 after structural relaxation.

## Properties
Total magnetization ... 0.00 μB per formula unit
Symmetry ... Pca2_1 (29)
Formation energy (no corrections) ... -2.02 eV per atom
Final energy ... -0.213 hartree per atom
Theoretical density ... 3.730 Mg/m³

Lattice parameters (Å, degrees): 5.6169 11.2605 15.9189 90.00 90.00 90.00
Fractional coordinates of all 64 atoms:
K  0.4820  0.5078  0.9420
O  0.8664  0.3899  0.9095
K  0.9966  0.9851  0.0599
O  0.3816  0.8538  0.1704
O  0.0814  0.1968  0.8448
O  0.0814  0.3032  0.3448
O  0.3508  0.4701  0.7812
O  0.3816  0.6462  0.6704
K  0.0460  0.2708  0.6861
K  0.5386  0.2406  0.3201
O  0.1336  0.8899  0.9095
Si  0.0158  0.2328  0.4325
Si  0.9842  0.7672  0.9325
K  0.5386  0.2594  0.8201
K  0.5180  0.4922  0.4420
O  0.6138  0.5778  0.1133
K  0.0034  0.4851  0.0599
O  0.8411  0.3167  0.4913
Si  0.5258  0.0091  0.6909
K  0.9966  0.5149  0.5599
Si  0.4742  0.9909  0.1909
K  0.4614  0.7594  0.8201
Cd  0.4646  0.7573  0.5645
K  0.4820  0.9922  0.4420
O  0.2606  0.3081  0.9815
Cd  0.0165  0.0131  0.8121
O  0.7657  0.0024  0.1996
Cd  0.9835  0.9869  0.3121
O  0.8411  0.1833  0.9913
Cd  0.5354  0.2427  0.0645
Cd  0.9835  0.5131  0.8121
O  0.1589  0.8167  0.4913
O  0.3862  0.0778  0.1133
O  0.6138  0.9222  0.6133
K  0.9540  0.7292  0.1861
Si  0.4742  0.5091  0.6909
Si  0.9842  0.7328  0.4325
Si  0.5258  0.4909  0.1909
O  0.1336  0.6101  0.4095
K  0.5180  0.0078  0.9420
Cd  0.0165  0.4869  0.3121
O  0.9186  0.8032  0.3448
O  0.6492  0.5299  0.2812
K  0.0460  0.2292  0.1861
O  0.3508  0.0299  0.2812
O  0.6184  0.1462  0.6704
Si  0.0158  0.2672  0.9325
O  0.7657  0.4976  0.6996
Cd  0.4646  0.7427  0.0645
O  0.2606  0.1919  0.4815
O  0.6184  0.3538  0.1704
K  0.9540  0.7708  0.6861
O  0.7394  0.6919  0.4815
O  0.1589  0.6833  0.9913
O  0.2343  0.5024  0.1996
O  0.6492  0.9701  0.7812
K  0.0034  0.0149  0.5599
O  0.9186  0.6968  0.8448
O  0.3862  0.4222  0.6133
O  0.2343  0.9976  0.6996
O  0.8664  0.1101  0.4095
Cd  0.5354  0.2573  0.5645
O  0.7394  0.8081  0.9815
K  0.4614  0.7406  0.3201



VASP calculation (PBEsol) on InHg2 after structural relaxation.

## Properties
Total magnetization ... 0.00 μB per formula unit
Symmetry ... Pa-3 (205)
ΔH_f (0 K) ... 0.08 eV per atom
Final energy ... -0.047 hartree per atom
Theoretical density ... 10.428 Mg/m³

Lattice parameters (Å, degrees): 6.9010 6.9010 6.9010 90.00 90.00 90.00
Fractional coordinates of all 12 atoms:
Hg  0.1246  0.8754  0.3754
In  0.5000  0.0000  0.5000
Hg  0.3754  0.1246  0.8754
Hg  0.3754  0.3754  0.3754
Hg  0.8754  0.1246  0.6246
Hg  0.6246  0.8754  0.1246
In  0.0000  0.0000  0.0000
Hg  0.6246  0.6246  0.6246
In  0.5000  0.5000  0.0000
Hg  0.1246  0.6246  0.8754
In  0.0000  0.5000  0.5000
Hg  0.8754  0.3754  0.1246



VASP calculation (PBEsol) on LaY2Mg after structural relaxation.

## Properties
Total magnetization ... 0.00 μB per formula unit
Symmetry ... Pmm2 (25)
ΔH_f (0 K) ... 0.01 eV per atom
Final energy ... -0.190 hartree per atom
Theoretical density ... 4.737 Mg/m³

Lattice parameters (Å, degrees): 3.5428 4.8441 6.9652 90.00 90.00 90.00
Fractional coordinates of all 4 atoms:
Y  0.0000  0.0000  0.9956
La  0.0000  0.0000  0.5060
Mg  0.5000  0.5000  0.7565
Y  0.5000  0.5000  0.2420



VASP calculation (PBEsol) on Mn2SiPt after structural relaxation.

## Properties
Total magnetization ... 1.85 μB per formula unit
Symmetry ... I-4m2 (119)
Formation energy (no corrections) ... -0.30 eV per atom
Final energy ... -0.307 hartree per atom
Theoretical density ... 11.249 Mg/m³

Lattice parameters (Å, degrees): 3.7731 4.3640 3.7731 115.61 90.00 115.61
Fractional coordinates of all 4 atoms:
Si  0.2500  0.5000  0.7500
Mn  0.0000  0.0000  0.0000
Pt  0.5000  0.0000  0.5000
Mn  0.7500  0.5000  0.2500



VASP calculation (PBEsol) on ScZnPt3 after structural relaxation.

## Properties
Total magnetization ... 0.00 μB per formula unit
Symmetry ... Pm-3m (221)
ΔH_f (0 K) ... 0.12 eV per atom
Final energy ... -0.209 hartree per atom
Theoretical density ... 12.381 Mg/m³

Lattice parameters (Å, degrees): 4.5354 4.5354 4.5354 90.00 90.00 90.00
Fractional coordinates of all 5 atoms:
Pt  0.0000  0.0000  0.5000
Pt  0.0000  0.5000  0.0000
Zn  0.0000  0.0000  0.0000
Sc  0.5000  0.5000  0.5000
Pt  0.5000  0.0000  0.0000